# ScFeBO4 PBE with a Hubbard U optimized geometry
# * crystal system: orthorhombic
# * DFT total energy: -212.7 eV/cell
data_ScFeBO4
_space_group_name_H-M_alt 'I m m a'
_space_group_IT_number 74
_space_group_name_Hall '-I 2b 2'
_cell_length_a 5.594
_cell_length_b 5.837
_cell_length_c 7.799
_cell_angle_alpha 90.00
_cell_angle_beta 90.00
_cell_angle_gamma 90.00
loop_
_atom_site_label
_atom_site_fract_x
_atom_site_fract_y
_atom_site_fract_z
Sc1 0.000 0.000 0.000
Fe1 0.250 0.250 0.250
B1 0.000 0.250 0.621
O1 0.000 0.036 0.732
O2 0.226 0.250 0.507